This record from the Alexandria database describes TlTeS4 after structural relaxation. The functional is PBE.

## Properties
Formation energy from raw total energies, kJ per mole of atoms: 15.0
Energy above the lowest structure with this stoichiometry, eV per atom: 0.160
Space group: No. 15

a b c (Å): 11.6200 11.6200 6.7016
angles (deg): 106.74 106.74 131.88
Last column: nearest neighbours and their distance in Å.
Fractional coordinates of all 12 atoms:
Tl1 0.1248 0.8752 0.7500  4 S 3.04
Tl2 0.8752 0.1248 0.2500  4 S 3.04
Te1 0.3750 0.6250 0.2500  4 S 2.71
Te2 0.6250 0.3750 0.7500  4 S 2.71
S1 0.0402 0.7082 0.0402  1 S 2.03
S2 0.2918 0.9598 0.4598  1 S 2.03
S3 0.3320 0.5000 0.7920  1 S 2.03
S4 0.5000 0.3320 0.2920  1 S 2.03
S5 0.5000 0.6680 0.7080  1 S 2.03
S6 0.6680 0.5000 0.2080  1 S 2.03
S7 0.7082 0.0402 0.5402  1 S 2.03
S8 0.9598 0.2918 0.9598  1 S 2.03

This record from the Alexandria database describes ScV2Tc after structural relaxation. The functional is PBE.

## Properties
Energy above the lowest structure with this stoichiometry, eV per atom: 0.413
DFT formation energy, meV/atom: 391
Space group: No. 122

a b c (Å): 7.0498 7.0498 5.4602
angles (deg): 90.00 90.00 90.00
Last column: nearest neighbours and their distance in Å.
Fractional coordinates of all 16 atoms:
Sc1 0.0000 0.0000 0.0000  2 Tc 2.73, 4 V 2.80
Sc2 0.0000 0.5000 0.2500  2 Tc 2.73, 4 V 2.80
Sc3 0.5000 0.0000 0.7500  2 Tc 2.73, 4 V 2.80
Sc4 0.5000 0.5000 0.5000  2 Tc 2.73, 4 V 2.80
V1 0.2073 0.2500 0.6250  2 Tc 2.39
V2 0.2500 0.7073 0.8750  2 Tc 2.39
V3 0.2500 0.7927 0.3750  2 Tc 2.39
V4 0.2927 0.2500 0.1250  2 Tc 2.39
V5 0.7073 0.7500 0.1250  2 Tc 2.39
V6 0.7500 0.2073 0.3750  2 Tc 2.39
V7 0.7500 0.2927 0.8750  2 Tc 2.39
V8 0.7927 0.7500 0.6250  2 Tc 2.39
Tc1 0.0000 0.0000 0.5000  4 V 2.39
Tc2 0.0000 0.5000 0.7500  4 V 2.39
Tc3 0.5000 0.0000 0.2500  4 V 2.39
Tc4 0.5000 0.5000 0.0000  4 V 2.39

This record from the Alexandria database describes Tb5Ho4Tm after structural relaxation. The functional is PBE.

## Properties
Energy above the lowest structure with this stoichiometry, eV per atom: 0.249
DFT formation energy, meV/atom: 307
Space group: No. 79

a b c (Å): 7.8168 7.8168 7.8168
angles (deg): 99.09 99.09 133.15
Last column: nearest neighbours and their distance in Å.
Fractional coordinates of all 10 atoms:
Tb1 0.0000 0.0000 0.0000  1 Tm 2.87
Tb2 0.0424 0.4199 0.9211  4 Ho 3.19-3.50, 1 Tm 3.23, 1 Tb 3.24
Tb3 0.1213 0.0424 0.6226  4 Ho 3.19-3.50, 1 Tm 3.23, 1 Tb 3.24
Tb4 0.4199 0.4987 0.3774  4 Ho 3.19-3.50, 1 Tm 3.23, 1 Tb 3.24
Tb5 0.4987 0.1213 0.0789  4 Ho 3.19-3.50, 1 Tm 3.23, 1 Tb 3.24
Ho1 0.1113 0.7253 0.3001  4 Tb 3.19-3.50, 1 Ho 3.30
Ho2 0.4252 0.8112 0.6999  4 Tb 3.19-3.50, 1 Ho 3.30
Ho3 0.7253 0.4252 0.6140  4 Tb 3.19-3.50, 1 Ho 3.30
Ho4 0.8112 0.1113 0.3860  4 Tb 3.19-3.50, 1 Ho 3.30
Tm1 0.5388 0.5388 0.0000  1 Tb 2.87

This record from the Alexandria database describes ReSiSb2 after structural relaxation. The functional is PBE.

## Properties
Formation energy from raw total energies, kJ per mole of atoms: 49.2
Space group: No. 123

a b c (Å): 3.2645 3.2645 7.3811
angles (deg): 90.00 90.00 90.00
Last column: nearest neighbours and their distance in Å.
Fractional coordinates of all 4 atoms:
Re1 0.0000 0.0000 0.0000  8 Sb 2.84
Si1 0.0000 0.0000 0.5000  8 Sb 3.08, 4 Si 3.26
Sb1 0.5000 0.5000 0.2245  4 Re 2.84, 4 Si 3.08
Sb2 0.5000 0.5000 0.7755  4 Re 2.84, 4 Si 3.08

This record from the Alexandria database describes LiHgSe after structural relaxation. The functional is PBE.

## Properties
Formation energy from raw total energies, kJ per mole of atoms: -44.0
Energy above the lowest structure with this stoichiometry, eV per atom: 0.032
Space group: No. 156

a b c (Å): 4.2742 4.2742 4.1445
angles (deg): 90.00 90.00 120.00
Last column: nearest neighbours and their distance in Å.
Fractional coordinates of all 3 atoms:
Li1 0.0000 0.0000 0.0000  3 Se 2.49
Hg1 0.3333 0.6667 0.5459  6 Li 3.10-3.35, 6 Se 3.14-3.31
Se1 0.6667 0.3333 0.0772  3 Li 2.49

This record from the Alexandria database describes ZnMo3 after structural relaxation. The functional is PBE.

## Properties
Energy above the lowest structure with this stoichiometry, eV per atom: 0.121
DFT formation energy, meV/atom: 152
Space group: No. 71

a b c (Å): 3.2383 4.3573 8.8279
angles (deg): 90.00 90.00 90.00
Last column: nearest neighbours and their distance in Å.
Fractional coordinates of all 8 atoms:
Zn1 0.0000 0.0000 0.0000  12 Mo 2.71-3.02
Zn2 0.5000 0.5000 0.5000  12 Mo 2.71-3.02
Mo1 0.0000 0.0000 0.5000  4 Mo 2.64, 4 Zn 2.71
Mo2 0.0000 0.5000 0.2367  6 Mo 2.64-2.72, 2 Zn 2.83
Mo3 0.0000 0.5000 0.7633  6 Mo 2.64-2.72, 2 Zn 2.83
Mo4 0.5000 0.0000 0.2633  6 Mo 2.64-2.72, 2 Zn 2.83
Mo5 0.5000 0.0000 0.7367  6 Mo 2.64-2.72, 2 Zn 2.83
Mo6 0.5000 0.5000 0.0000  4 Mo 2.64, 4 Zn 2.71

This record from the Alexandria database describes Pr3Al2Au7 after structural relaxation. The functional is PBE.

## Properties
DFT formation energy, meV/atom: -591
Space group: No. 139

a b c (Å): 14.4920 14.4920 14.4920
angles (deg): 162.60 162.60 24.70
Last column: nearest neighbours and their distance in Å.
Fractional coordinates of all 12 atoms:
Pr1 0.0000 0.0000 0.0000  12 Au 3.10-3.17
Pr2 0.1745 0.1745 0.0000  5 Au 3.07-3.33, 4 Al 3.37
Pr3 0.8255 0.8255 0.0000  5 Au 3.07-3.33, 4 Al 3.37
Al1 0.3725 0.3725 0.0000  5 Au 2.54-2.56
Al2 0.6275 0.6275 0.0000  5 Au 2.54-2.56
Au1 0.0810 0.5810 0.5000  2 Al 2.56
Au2 0.2828 0.2828 0.0000  1 Al 2.54
Au3 0.4190 0.9190 0.5000  2 Al 2.56
Au4 0.5000 0.5000 0.0000  4 Pr 3.10, 8 Au 3.17
Au5 0.5810 0.0810 0.5000  2 Al 2.56
Au6 0.7172 0.7172 0.0000  1 Al 2.54
Au7 0.9190 0.4190 0.5000  2 Al 2.56

This record from the Alexandria database describes P2C after structural relaxation. The functional is PBE.

## Properties
Energy above the lowest structure with this stoichiometry, eV per atom: 1.909
DFT formation energy, meV/atom: 2340
Space group: No. 227

a b c (Å): 4.7906 4.7906 4.7906
angles (deg): 60.00 60.00 60.00
Last column: nearest neighbours and their distance in Å.
Fractional coordinates of all 6 atoms:
P1 0.0000 0.0000 0.0000  6 P 2.40
P2 0.0000 0.0000 0.5000  6 P 2.40
P3 0.0000 0.5000 0.0000  6 P 2.40
P4 0.5000 0.0000 0.0000  6 P 2.40
C1 0.3750 0.3750 0.3750  12 P 2.81, 4 C 2.93
C2 0.6250 0.6250 0.6250  12 P 2.81, 4 C 2.93

This record from the Alexandria database describes PmSmDy2Ho after structural relaxation. The functional is PBE.

## Properties
DFT formation energy, meV/atom: 398
Space group: No. 63

a b c (Å): 7.1262 7.1262 7.1589
angles (deg): 90.00 90.00 107.71
Last column: nearest neighbours and their distance in Å.
Fractional coordinates of all 10 atoms:
Pm1 0.0032 0.9968 0.7500  1 Sm 3.10, 4 Dy 3.18, 1 Ho 3.21
Pm2 0.9968 0.0032 0.2500  1 Sm 3.10, 4 Dy 3.18, 1 Ho 3.21
Sm1 0.2729 0.7271 0.7500  1 Pm 3.10
Sm2 0.7271 0.2729 0.2500  1 Pm 3.10
Dy1 0.3127 0.3127 0.0000  1 Dy 3.15, 2 Pm 3.18, 2 Ho 3.51
Dy2 0.3127 0.3127 0.5000  1 Dy 3.15, 2 Pm 3.18, 2 Ho 3.51
Dy3 0.6873 0.6873 0.0000  1 Dy 3.15, 2 Pm 3.18, 2 Ho 3.51
Dy4 0.6873 0.6873 0.5000  1 Dy 3.15, 2 Pm 3.18, 2 Ho 3.51
Ho1 0.2758 0.7242 0.2500  1 Pm 3.21, 4 Dy 3.51, 2 Sm 3.58
Ho2 0.7242 0.2758 0.7500  1 Pm 3.21, 4 Dy 3.51, 2 Sm 3.58

This record from the Alexandria database describes RbAlSn after structural relaxation. The functional is PBE.

## Properties
DFT formation energy, meV/atom: -54
Space group: No. 2

a b c (Å): 4.5048 6.7625 7.9792
angles (deg): 77.37 74.00 89.39
Last column: nearest neighbours and their distance in Å.
Fractional coordinates of all 6 atoms:
Rb1 0.0972 0.3082 0.3104  4 Al 3.84-4.02, 6 Sn 3.92-4.26
Rb2 0.9028 0.6918 0.6896  4 Al 3.84-4.02, 6 Sn 3.92-4.26
Al1 0.2202 0.8850 0.0504  2 Al 2.70-2.80, 3 Sn 2.73-2.83
Al2 0.7798 0.1150 0.9496  2 Al 2.70-2.80, 3 Sn 2.73-2.83
Sn1 0.3865 0.2031 0.7404  3 Al 2.73-2.83
Sn2 0.6135 0.7969 0.2596  3 Al 2.73-2.83

This record from the Alexandria database describes NpS3O12 after structural relaxation. The functional is PBE.

## Properties
Formation energy from raw total energies, kJ per mole of atoms: -143.1
Space group: No. 176

a b c (Å): 10.0882 10.0882 5.2953
angles (deg): 90.00 90.00 120.00
Last column: nearest neighbours and their distance in Å.
Fractional coordinates of all 32 atoms:
Np1 0.3333 0.6667 0.2500  6 O 2.15
Np2 0.6667 0.3333 0.7500  6 O 2.15
S1 0.1084 0.3949 0.7500  4 O 1.43-1.55
S2 0.2865 0.8916 0.7500  4 O 1.43-1.55
S3 0.3949 0.2865 0.2500  4 O 1.43-1.55
S4 0.6051 0.7135 0.7500  4 O 1.43-1.55
S5 0.7135 0.1084 0.2500  4 O 1.43-1.55
S6 0.8916 0.6051 0.2500  4 O 1.43-1.55
O1 0.0539 0.6603 0.2500  1 S 1.44
O2 0.1263 0.8403 0.7500  1 S 1.43
O3 0.1597 0.2860 0.7500  1 S 1.43
O4 0.1784 0.5046 0.5210  1 S 1.55
O5 0.1784 0.5046 0.9790  1 S 1.55
O6 0.2860 0.1263 0.2500  1 S 1.43
O7 0.3262 0.8216 0.5210  1 S 1.55
O8 0.3262 0.8216 0.9790  1 S 1.55
O9 0.3397 0.3936 0.2500  1 S 1.44
O10 0.3936 0.0539 0.7500  1 S 1.44
O11 0.4954 0.6738 0.5210  1 S 1.55
O12 0.4954 0.6738 0.9790  1 S 1.55
O13 0.5046 0.3262 0.0210  1 S 1.55
O14 0.5046 0.3262 0.4790  1 S 1.55
O15 0.6064 0.9461 0.2500  1 S 1.44
O16 0.6603 0.6064 0.7500  1 S 1.44
O17 0.6738 0.1784 0.0210  1 S 1.55
O18 0.6738 0.1784 0.4790  1 S 1.55
O19 0.7140 0.8737 0.7500  1 S 1.43
O20 0.8216 0.4954 0.0210  1 S 1.55
O21 0.8216 0.4954 0.4790  1 S 1.55
O22 0.8403 0.7140 0.2500  1 S 1.43
O23 0.8737 0.1597 0.2500  1 S 1.43
O24 0.9461 0.3397 0.7500  1 S 1.44